Entry 1:
VASP calculation (GGA-PBE) on a geometry-optimized La4HgPt structure.

Calculated formation energy: -607 meV/atom
SG: No. 216
Density: 8.5 Mg/m³
E above lowest polymorph: 0 meV per atom

a b c (Å): 10.1558 10.1558 10.1558
angles (deg): 60.00 60.00 60.00
Closest atoms and distances in Å follow each position.
Fractional positions:
1 La 0.0572 0.0572 0.4428  2 Pt 2.99
2 La 0.0572 0.4428 0.0572  2 Pt 2.99
3 La 0.0572 0.4428 0.4428  2 Pt 2.99
4 La 0.1874 0.1874 0.8126  2 Hg 3.38, 2 La 3.67, 2 Pt 3.67
5 La 0.1874 0.8126 0.1874  2 Hg 3.38, 2 La 3.67, 2 Pt 3.67
6 La 0.1874 0.8126 0.8126  2 Hg 3.38, 2 La 3.67, 2 Pt 3.67
7 La 0.1944 0.6019 0.6019  3 Pt 3.00
8 La 0.4428 0.0572 0.0572  2 Pt 2.99
9 La 0.4428 0.0572 0.4428  2 Pt 2.99
10 La 0.4428 0.4428 0.0572  2 Pt 2.99
11 La 0.6019 0.1944 0.6019  3 Pt 3.00
12 La 0.6019 0.6019 0.1944  3 Pt 3.00
13 La 0.6019 0.6019 0.6019  3 Pt 3.00
14 La 0.8126 0.1874 0.1874  2 Hg 3.38, 2 La 3.67, 2 Pt 3.67
15 La 0.8126 0.1874 0.8126  2 Hg 3.38, 2 La 3.67, 2 Pt 3.67
16 La 0.8126 0.8126 0.1874  2 Hg 3.38, 2 La 3.67, 2 Pt 3.67
17 Hg 0.4973 0.8342 0.8342  9 La 3.38-3.63, 3 Hg 3.42
18 Hg 0.8342 0.4973 0.8342  9 La 3.38-3.63, 3 Hg 3.42
19 Hg 0.8342 0.8342 0.4973  9 La 3.38-3.63, 3 Hg 3.42
20 Hg 0.8342 0.8342 0.8342  9 La 3.38-3.63, 3 Hg 3.42
21 Pt 0.3932 0.3932 0.3932  6 La 2.99-3.00
22 Pt 0.3932 0.3932 0.8204  6 La 2.99-3.00
23 Pt 0.3932 0.8204 0.3932  6 La 2.99-3.00
24 Pt 0.8204 0.3932 0.3932  6 La 2.99-3.00


Entry 2:
VASP calculation (GGA-PBE) on a geometry-optimized La4HgPt structure.

Calculated formation energy: 233 meV/atom
SG: No. 216
Density: 9.0 Mg/m³
E above lowest polymorph: 840 meV per atom

a b c (Å): 6.2911 6.2911 6.2911
angles (deg): 60.00 60.00 60.00
Closest atoms and distances in Å follow each position.
Fractional positions:
1 La 0.1241 0.1241 0.1241  6 La 3.12-3.17
2 La 0.1241 0.1241 0.6276  6 La 3.12-3.17
3 La 0.1241 0.6276 0.1241  6 La 3.12-3.17
4 La 0.6276 0.1241 0.1241  6 La 3.12-3.17
5 Hg 0.5000 0.5000 0.5000  12 La 3.69, 4 Pt 3.85
6 Pt 0.7500 0.7500 0.7500  12 La 3.69, 4 Hg 3.85


The lowest E above lowest polymorph belongs to which entry?
number 1


Repeat the second record exactly.
VASP calculation (GGA-PBE) on a geometry-optimized La4HgPt structure.

Calculated formation energy: 233 meV/atom
SG: No. 216
Density: 9.0 Mg/m³
E above lowest polymorph: 840 meV per atom

a b c (Å): 6.2911 6.2911 6.2911
angles (deg): 60.00 60.00 60.00
Closest atoms and distances in Å follow each position.
Fractional positions:
1 La 0.1241 0.1241 0.1241  6 La 3.12-3.17
2 La 0.1241 0.1241 0.6276  6 La 3.12-3.17
3 La 0.1241 0.6276 0.1241  6 La 3.12-3.17
4 La 0.6276 0.1241 0.1241  6 La 3.12-3.17
5 Hg 0.5000 0.5000 0.5000  12 La 3.69, 4 Pt 3.85
6 Pt 0.7500 0.7500 0.7500  12 La 3.69, 4 Hg 3.85